Record 1
Density functional theory data (PBE-GGA) for a geometry-optimized La2TlCl structure.

## Properties
**Total energy**: -17.4 eV for the cell shown
**Magnetization**: 0.00 μB/f.u.

Cell lengths 7.6410, 7.6410, 4.7352 Å; angles 71.93, 71.93, 28.13 degrees
Closest atoms and distances in Å follow each position.
Element x y z (fractional)
La  0.7166  0.7166  0.7834  4 Cl 3.15, 2 Tl 3.37
La  0.9542  0.9542  0.0457  2 Cl 3.04, 4 Tl 3.27
Tl  0.5461  0.5461  0.4540  6 La 3.27-3.37
Cl  0.2831  0.2831  0.2169  6 La 3.04-3.15


Record 2
Density functional theory data (PBE-GGA) for a geometry-optimized Ga2HgPbN structure.

## Properties
**Total energy**: -13.5 eV for the cell shown
**Magnetization**: 0.00 μB/f.u.

Cell lengths 5.7859, 4.3066, 5.7859 Å; angles 90.00, 90.00, 90.00 degrees
Closest atoms and distances in Å follow each position.
Element x y z (fractional)
Pb  0.0000  0.0000  0.0000  2 N 2.15
Ga  0.0000  0.0000  0.5000  2 Pb 2.89
Ga  0.5000  0.0000  0.0000  2 Pb 2.89
Hg  0.5000  0.5000  0.5000  8 Ga 3.61
N  0.0000  0.5000  0.0000  2 Pb 2.15


Record 3
Density functional theory data (PBE-GGA) for a geometry-optimized OsRu2Au structure.

## Properties
**Energy of formation from the pure elements**: 0.710 eV/atom
**Magnetization**: 1.56 μB/f.u.

Cell lengths 4.4260, 4.4260, 4.4260 Å; angles 60.00, 60.00, 60.00 degrees
Closest atoms and distances in Å follow each position.
Element x y z (fractional)
Au  0.5000  0.5000  0.5000  8 Ru 2.71
Ru  0.7500  0.7500  0.7500  4 Os 2.71, 4 Au 2.71
Ru  0.2500  0.2500  0.2500  4 Os 2.71, 4 Au 2.71
Os  0.0000  0.0000  0.0000  8 Ru 2.71


Record 4
Density functional theory data (PBE-GGA) for a geometry-optimized La2HgC structure.

## Properties
**Energy of formation from the pure elements**: -0.134 eV/atom
**Magnetization**: 0.00 μB/f.u.

Cell lengths 7.3738, 7.3738, 6.7041 Å; angles 56.64, 56.64, 90.00 degrees
Closest atoms and distances in Å follow each position.
Element x y z (fractional)
C  0.5000  0.5000  0.0000  4 La 2.44
C  0.2500  0.7500  0.5000  4 La 2.44
La  0.3750  0.4608  0.7500  2 C 2.44
La  0.2108  0.6250  0.2500  2 C 2.44
La  0.5392  0.1250  0.2500  2 C 2.44
La  0.8750  0.7892  0.7500  2 C 2.44
Hg  0.0000  0.0000  0.0000  4 La 3.26
Hg  0.7500  0.2500  0.5000  4 La 3.26


Record 5
Density functional theory data (PBE-GGA) for a geometry-optimized Ba2Al3GeAu12 structure.

## Properties
**Energy of formation from the pure elements**: -0.236 eV/atom
**Magnetization**: 0.00 μB/f.u.

Cell lengths 8.7221, 8.7221, 8.7221 Å; angles 60.41, 60.41, 60.41 degrees
Closest atoms and distances in Å follow each position.
Element x y z (fractional)
Al  0.5000  0.0000  0.0000  6 Au 2.56-2.61
Al  0.0000  0.5000  0.0000  6 Au 2.56-2.61
Al  0.0000  0.0000  0.5000  6 Au 2.56-2.61
Au  0.6569  0.0178  0.6569  2 Al 2.56, 2 Au 2.80
Au  0.3500  0.8921  0.8921  1 Ge 2.51, 1 Al 2.61, 2 Au 2.80
Au  0.8921  0.3500  0.8921  1 Ge 2.51, 1 Al 2.61, 2 Au 2.80
Au  0.3431  0.3431  0.9822  2 Al 2.56, 2 Au 2.80
Au  0.1079  0.1079  0.6500  1 Ge 2.51, 1 Al 2.61, 2 Au 2.80
Au  0.1079  0.6500  0.1079  1 Ge 2.51, 1 Al 2.61, 2 Au 2.80
Au  0.6500  0.1079  0.1079  1 Ge 2.51, 1 Al 2.61, 2 Au 2.80
Au  0.9822  0.3431  0.3431  2 Al 2.56, 2 Au 2.80
Au  0.0178  0.6569  0.6569  2 Al 2.56, 2 Au 2.80
Au  0.3431  0.9822  0.3431  2 Al 2.56, 2 Au 2.80
Au  0.8921  0.8921  0.3500  1 Ge 2.51, 1 Al 2.61, 2 Au 2.80
Au  0.6569  0.6569  0.0178  2 Al 2.56, 2 Au 2.80
Ba  0.3891  0.3891  0.3891  6 Au 3.44-3.48
Ba  0.6109  0.6109  0.6109  6 Au 3.44-3.48
Ge  0.0000  0.0000  0.0000  6 Au 2.51


Record 6
Density functional theory data (PBE-GGA) for a geometry-optimized SrYZr2 structure.

## Properties
**Energy of formation from the pure elements**: 0.486 eV/atom
**Magnetization**: 3.22 μB/f.u.

Cell lengths 5.5087, 5.5087, 5.5087 Å; angles 60.00, 60.00, 60.00 degrees
Closest atoms and distances in Å follow each position.
Element x y z (fractional)
Zr  0.0000  0.0000  0.0000  4 Y 3.37, 4 Zr 3.37
Zr  0.2500  0.2500  0.2500  4 Zr 3.37, 4 Sr 3.37
Sr  0.5000  0.5000  0.5000  4 Zr 3.37, 4 Y 3.37
Y  0.7500  0.7500  0.7500  4 Sr 3.37, 4 Zr 3.37


Record 7
Density functional theory data (PBE-GGA) for a geometry-optimized ZnCd4Sn structure.

## Properties
**Energy of formation from the pure elements**: 0.140 eV/atom
**Magnetization**: 0.00 μB/f.u.

Cell lengths 5.8689, 5.8689, 5.8689 Å; angles 60.00, 60.00, 60.00 degrees
Closest atoms and distances in Å follow each position.
Element x y z (fractional)
Cd  0.6247  0.6247  0.1259  6 Cd 2.93-2.94
Cd  0.6247  0.6247  0.6247  6 Cd 2.93-2.94
Cd  0.6247  0.1259  0.6247  6 Cd 2.93-2.94
Cd  0.1259  0.6247  0.6247  6 Cd 2.93-2.94
Sn  0.0000  0.0000  0.0000  12 Cd 3.44, 4 Zn 3.59
Zn  0.2500  0.2500  0.2500  12 Cd 3.44, 4 Sn 3.59


Record 8
Density functional theory data (PBE-GGA) for a geometry-optimized Pm6InAs2Se3 structure.

## Properties
**Total energy**: -69.0 eV for the cell shown
**Magnetization**: 0.00 μB/f.u.

Cell lengths 4.2214, 8.6207, 9.5493 Å; angles 102.93, 102.77, 90.00 degrees
Closest atoms and distances in Å follow each position.
Element x y z (fractional)
Se  0.1667  0.8317  0.3334  6 Pm 2.96-3.08
Se  0.8333  0.1683  0.6666  6 Pm 2.96-3.08
Se  0.5000  0.5000  0.0000  6 Pm 2.95-3.08
Pm  0.0022  0.2621  0.0044  3 Se 2.95-3.06, 1 As 3.00, 2 In 3.09
Pm  0.6700  0.5771  0.3400  3 As 2.95-2.96, 3 Se 3.06-3.08
Pm  0.3300  0.4229  0.6600  3 As 2.95-2.96, 3 Se 3.06-3.08
Pm  0.6699  0.0926  0.3398  3 Se 2.96-3.08, 2 As 2.98, 1 In 3.08
Pm  0.9978  0.7379  0.9956  3 Se 2.95-3.06, 1 As 3.00, 2 In 3.09
Pm  0.3301  0.9074  0.6602  3 Se 2.96-3.08, 2 As 2.98, 1 In 3.08
In  0.5000  0.0000  0.0000  6 Pm 3.08-3.09
As  0.1675  0.3350  0.3351  6 Pm 2.95-3.00
As  0.8325  0.6650  0.6649  6 Pm 2.95-3.00


Record 9
Density functional theory data (PBE-GGA) for a geometry-optimized TlSb4Os structure.

## Properties
**Total energy**: -23.8 eV for the cell shown
**Magnetization**: 2.79 μB/f.u.

Cell lengths 6.1691, 6.1691, 6.1691 Å; angles 60.00, 60.00, 60.00 degrees
Closest atoms and distances in Å follow each position.
Element x y z (fractional)
Os  0.0000  0.0000  0.0000  12 Sb 3.61, 4 Tl 3.78
Sb  0.8774  0.3742  0.3742  6 Sb 3.06-3.10
Sb  0.3742  0.3742  0.8774  6 Sb 3.06-3.10
Sb  0.3742  0.3742  0.3742  6 Sb 3.06-3.10
Sb  0.3742  0.8774  0.3742  6 Sb 3.06-3.10
Tl  0.7500  0.7500  0.7500  12 Sb 3.62, 4 Os 3.78


Record 10
Density functional theory data (PBE-GGA) for a geometry-optimized Cs4PrSm3Te8 structure.

## Properties
**Total energy**: -70.0 eV for the cell shown
**Magnetization**: 0.00 μB/f.u.

Cell lengths 9.3026, 10.4336, 9.3031 Å; angles 116.49, 120.00, 90.00 degrees
Closest atoms and distances in Å follow each position.
Element x y z (fractional)
Sm  0.5000  0.5000  0.5000  6 Te 3.18-3.19
Sm  0.5000  0.5000  0.0000  6 Te 3.18-3.19
Sm  0.0000  0.5000  0.5000  6 Te 3.18-3.19
Cs  0.5000  0.0000  0.0000  6 Te 3.81
Cs  0.0000  0.0000  0.0000  6 Te 3.84-3.85
Cs  0.0000  0.0000  0.5000  6 Te 3.84-3.85
Cs  0.5000  0.0000  0.5000  6 Te 3.84-3.85
Pr  0.0000  0.5000  0.0000  6 Te 3.22-3.23
Te  0.2692  0.3076  0.5383  3 Sm 3.19
Te  0.2726  0.3059  0.0392  2 Sm 3.18, 1 Pr 3.22
Te  0.7666  0.3059  0.5332  2 Sm 3.18, 1 Pr 3.23
Te  0.2334  0.6941  0.4668  2 Sm 3.18, 1 Pr 3.23
Te  0.7666  0.3059  0.0392  2 Sm 3.18, 1 Pr 3.22
Te  0.2334  0.6941  0.9608  2 Sm 3.18, 1 Pr 3.22
Te  0.7308  0.6924  0.4617  3 Sm 3.19
Te  0.7274  0.6941  0.9608  2 Sm 3.18, 1 Pr 3.22


Record 11
Density functional theory data (PBE-GGA) for a geometry-optimized InAgP2 structure.

## Properties
**Energy of formation from the pure elements**: 0.516 eV/atom
**Magnetization**: 0.00 μB/f.u.

Cell lengths 5.1760, 5.1760, 5.1760 Å; angles 132.08, 132.08, 70.11 degrees
Closest atoms and distances in Å follow each position.
Element x y z (fractional)
Ag  0.5000  0.5000  0.0000  8 P 2.97-2.98, 4 In 2.98
P  0.2500  0.7500  0.5000  4 In 2.97, 4 Ag 2.98, 4 P 2.98
P  0.0000  0.0000  0.0000  4 Ag 2.97, 4 P 2.98, 4 In 2.98
In  0.7500  0.2500  0.5000  8 P 2.97-2.98, 4 Ag 2.98


| no. | density (g cm⁻³) |
| --- | --- |
| 1 | 7.0 |
| 2 | 6.5 |
| 3 | 16.0 |
| 4 | 7.1 |
| 5 | 9.8 |
| 6 | 5.0 |
| 7 | 7.4 |
| 8 | 6.9 |
| 9 | 8.8 |
| 10 | 5.3 |
| 11 | 6.3 |